# 1
Entry from the Alexandria database: a relaxed structure of Pm3SiGe (GGA-PBE).

Properties
Formation energy without anion corrections (eV/atom): -0.61
Crystal system: orthorhombic
V (Å³/f.u.): 141.4

a b c (Å): 4.355 6.940 9.358
angles (deg): 90.00 90.00 90.00
Space group Pmmn (No. 59, origin choice 2)
Symmetry-distinct sites (fractional):
Pm 0.250 0.022 0.169 (multiplicity 4)
Pm 0.250 0.250 0.570 (multiplicity 2)
Si 0.250 0.250 0.893 (multiplicity 2)
Ge 0.250 0.750 0.642 (multiplicity 2)

---

# 2
Entry from the Alexandria database: a relaxed structure of NaCuTe (GGA-PBE).

Properties
Formation energy without anion corrections (eV/atom): -0.45
Crystal system: triclinic
V (Å³/f.u.): 78.3

a b c (Å): 4.394 4.404 5.211
angles (deg): 112.58 90.26 119.84
Space group P1 (No. 1)
Symmetry-distinct sites (fractional):
Na 0.000 0.000 0.000 (multiplicity 1)
Cu 0.215 0.434 0.612 (multiplicity 1)
Te 0.528 0.059 0.546 (multiplicity 1)